The following is a PBE calculation of a relaxed RbCaHf2Hg crystal, from Alexandria.

Properties
- Raw total energy: -3.74 eV per atom
- Energy of formation: 0.9004 eV per atom
- M_tot: 0.00 μB per atom

Cell: 5.472 5.897 5.472 Å, 90.00 90.00 90.00°
Element x y z (fractional)
Ca: 0.000 0.500 0.000
Hf: 0.000 0.000 0.500
Hf: 0.500 0.000 0.000
Hg: 0.000 0.000 0.000
Rb: 0.500 0.500 0.500